Computed, not measured: a relaxed EuGd3 crystal at the GGA-PBE level of DFT.

Cell lengths 8.1697, 8.1697, 8.1697 Å; angles 90.00, 90.00, 90.00 degrees
With the nearest neighbours (Å) after each atom.
Space group Fm-3m (No. 225)
Inequivalent atoms, fractional coordinates:
Eu  0.0000  0.0000  0.0000 x4  8 Gd 3.54
Gd  0.0000  0.0000  0.5000 x4  8 Gd 3.54
Gd  0.2500  0.2500  0.2500 x8  4 Gd 3.54, 4 Eu 3.54

- N(E_F): 34.4 states/eV per cell
- Excess energy over the best structure of this formula in the dataset: 46 meV/atom
- Calculated formation energy: 52 kJ/mol of formula units
- Total magnetization: 60.7 μB/cell